Entry 1:
Rb2Na2AcO4 | PBE | optimized geometry

POSCAR file:
```
Rb2Na2AcO4
1.0
6.671 -1.955 0.000
6.671 1.955 0.000
-5.887 0.000 7.352
Rb Na Ac O
2 2 1 4
direct
0.172 0.172 0.278
0.828 0.828 0.722
0.351 0.351 0.122
0.649 0.649 0.878
0.000 0.000 0.500
0.207 0.207 0.803
0.437 0.437 0.604
0.563 0.563 0.396
0.793 0.793 0.197
```

Properties
- space-group type = C2/m (12)
- size of the total moment (μB per cell) = 1.05
- formation energy without anion corrections (eV/f.u.) = -15.3

Entry 2:
NaAc2ReO6 | PBE | optimized geometry

POSCAR file:
```
NaAc2ReO6
1.0
5.610 0.000 0.000
0.000 5.610 0.000
0.000 0.000 5.244
Na Ac Re O
1 2 1 6
direct
0.000 0.000 0.000
0.000 0.500 0.442
0.500 0.000 0.442
0.500 0.500 0.005
0.000 0.000 0.559
0.276 0.276 0.160
0.276 0.724 0.160
0.500 0.500 0.662
0.724 0.276 0.160
0.724 0.724 0.160
```

Properties
- space-group type = P4mm (99)
- size of the total moment (μB per cell) = 0.00
- formation energy without anion corrections (eV/f.u.) = -23.0

Entry 3:
NaAcRe2O8 | PBE | optimized geometry

POSCAR file:
```
NaAcRe2O8
1.0
2.915 1.683 6.381
-2.915 1.683 6.381
0.000 -3.365 6.381
Na Ac Re O
1 1 2 8
direct
0.000 0.000 0.000
0.500 0.500 0.500
0.268 0.268 0.268
0.732 0.732 0.732
0.019 0.445 0.826
0.174 0.555 0.981
0.362 0.362 0.362
0.445 0.826 0.019
0.555 0.981 0.174
0.638 0.638 0.638
0.826 0.019 0.445
0.981 0.174 0.555
```

Properties
- space-group type = R32 (155)
- size of the total moment (μB per cell) = 2.06
- formation energy without anion corrections (eV/f.u.) = -22.5

Entry 4:
Na2Ac2ReO6 | PBE | optimized geometry

POSCAR file:
```
Na2Ac2ReO6
1.0
3.126 -5.408 0.000
3.126 5.408 0.000
-1.171 0.000 5.800
Na Ac Re O
2 2 1 6
direct
0.126 0.874 0.000
0.874 0.126 0.000
0.339 0.661 0.500
0.661 0.339 0.500
0.000 0.000 0.500
0.026 0.321 0.686
0.230 0.230 0.292
0.321 0.026 0.686
0.679 0.974 0.314
0.770 0.770 0.708
0.974 0.679 0.314
```

Properties
- space-group type = C2/m (12)
- size of the total moment (μB per cell) = 3.00
- formation energy without anion corrections (eV/f.u.) = -23.7

Entry 5:
Na3Ac3ReO8 | PBE | optimized geometry

POSCAR file:
```
Na3Ac3ReO8
1.0
3.657 2.111 5.595
-3.657 2.111 5.595
0.000 -4.222 5.595
Na Ac Re O
3 3 1 8
direct
0.000 0.500 0.500
0.500 0.000 0.500
0.500 0.500 0.000
0.000 0.000 0.500
0.000 0.500 0.000
0.500 0.000 0.000
0.500 0.500 0.500
0.242 0.242 0.242
0.284 0.709 0.709
0.291 0.291 0.716
0.291 0.716 0.291
0.709 0.284 0.709
0.709 0.709 0.284
0.716 0.291 0.291
0.758 0.758 0.758
```

Properties
- space-group type = R-3m (166)
- size of the total moment (μB per cell) = 3.00
- formation energy without anion corrections (eV/f.u.) = -33.7

Entry 6:
NaAc2ReO8 | PBE | optimized geometry

POSCAR file:
```
NaAc2ReO8
1.0
4.527 0.000 0.000
0.030 5.377 0.000
1.729 0.070 7.302
Na Ac Re O
1 2 1 8
direct
0.000 0.000 0.000
0.378 0.498 0.284
0.622 0.502 0.716
0.000 0.000 0.500
0.161 0.538 0.995
0.194 0.726 0.591
0.212 0.238 0.604
0.298 0.008 0.273
0.702 0.992 0.727
0.788 0.762 0.396
0.806 0.274 0.409
0.839 0.462 0.005
```

Properties
- space-group type = P-1 (2)
- size of the total moment (μB per cell) = 0.05
- formation energy without anion corrections (eV/f.u.) = -26.5

Entry 7:
Na2AcReO6 | PBE | optimized geometry

POSCAR file:
```
Na2AcReO6
1.0
5.739 0.000 0.000
0.000 6.033 0.000
-5.713 0.000 8.329
Na Ac Re O
4 2 2 12
direct
0.231 0.038 0.235
0.231 0.462 0.735
0.769 0.538 0.265
0.769 0.962 0.765
0.000 0.000 0.500
0.000 0.500 0.000
0.500 0.000 0.000
0.500 0.500 0.500
0.182 0.159 0.960
0.182 0.341 0.460
0.277 0.736 0.926
0.277 0.764 0.426
0.391 0.065 0.787
0.391 0.435 0.287
0.609 0.565 0.713
0.609 0.935 0.213
0.723 0.236 0.574
0.723 0.264 0.074
0.818 0.659 0.540
0.818 0.841 0.040
```

Properties
- space-group type = P2_1/c (14)
- size of the total moment (μB per cell) = 0.00
- formation energy without anion corrections (eV/f.u.) = -21.1

Entry 8:
Na2Ac2RhO6 | PBE | optimized geometry

POSCAR file:
```
Na2Ac2RhO6
1.0
3.111 -5.390 0.000
3.111 5.390 0.000
-1.156 0.000 5.766
Na Ac Rh O
2 2 1 6
direct
0.123 0.877 0.000
0.877 0.123 0.000
0.338 0.662 0.500
0.662 0.338 0.500
0.000 0.000 0.500
0.027 0.321 0.688
0.233 0.233 0.292
0.321 0.027 0.688
0.679 0.973 0.312
0.767 0.767 0.708
0.973 0.679 0.312
```

Properties
- space-group type = C2/m (12)
- size of the total moment (μB per cell) = 1.06
- formation energy without anion corrections (eV/f.u.) = -22.0